# 1
The following is a GGA-PBE calculation of a relaxed structure of K2ZnSiAs, from the Alexandria database.

Calculated values
- raw formation energy (eV/atom) = 0.45

Lattice parameters (Å, degrees): 6.5156 4.5140 6.5156 90.00 90.00 90.00
Closest atoms and distances in Å follow each position.
Sites, in units of the cell vectors:
K1 0.5000 0.0000 0.0000  2 Zn 3.26
K2 0.0000 0.0000 0.5000  2 Zn 3.26
Si1 0.5000 0.5000 0.5000  8 K 3.96
Zn1 0.0000 0.0000 0.0000  2 As 2.26
As1 0.0000 0.5000 0.0000  2 Zn 2.26

# 2
The following is a GGA-PBE calculation of a relaxed structure of NaBi2Ir2, from the Alexandria database.

Calculated values
- polymorph energy (0 for the lowest one) (eV/atom) = 0.141
- ΔE_f (eV/atom) = 0.221

Lattice parameters (Å, degrees): 8.0958 8.0958 3.3189 90.00 90.00 90.00
Closest atoms and distances in Å follow each position.
Sites, in units of the cell vectors:
Ir1 0.8707 0.6293 0.0000  6 Bi 2.90-2.91, 1 Ir 2.96, 2 Na 3.18
Ir2 0.1293 0.3707 0.0000  6 Bi 2.90-2.91, 1 Ir 2.96, 2 Na 3.18
Ir3 0.6293 0.1293 0.0000  6 Bi 2.90-2.91, 1 Ir 2.96, 2 Na 3.18
Ir4 0.3707 0.8707 0.0000  6 Bi 2.90-2.91, 1 Ir 2.96, 2 Na 3.18
Bi1 0.1620 0.6620 0.5000  6 Ir 2.90-2.91
Bi2 0.8380 0.3380 0.5000  6 Ir 2.90-2.91
Bi3 0.3380 0.1620 0.5000  6 Ir 2.90-2.91
Bi4 0.6620 0.8380 0.5000  6 Ir 2.90-2.91
Na1 0.5000 0.5000 0.0000  4 Ir 3.18, 2 Na 3.32, 8 Bi 3.46
Na2 0.0000 0.0000 0.0000  4 Ir 3.18, 2 Na 3.32, 8 Bi 3.46